A plane-wave DFT calculation with PBE was carried out for an optimized crystal structure of BaMn2Cu.

POSCAR file:
```
BaMn2Cu
1.0
3.446 0.000 0.000
0.000 4.989 0.000
0.000 0.000 5.127
Mn Cu Ba
2 1 1
direct
0.000 0.000 0.000 Mn
0.500 0.500 0.000 Mn
0.000 0.500 0.500 Cu
0.500 0.000 0.500 Ba
```

- Fermi-level density of states: 1.038 states/eV per atom
- Uncorrected energy: -5.247 eV/atom